# 1
A geometry-optimized CdSnBi2 structure. Source: the Alexandria database, functional PBE.

Calculated values
**SG**: P4/mmm, No. 123
**Total magnetization**: 0.00 μB per formula unit
**Density**: 9243 kg/m³
**Fermi-level density of states**: 0.4926 states/eV per atom
**ΔH_f (0 K)**: 102 meV/atom

Lattice parameters (Å, degrees): 5.052 5.052 4.569 90.00 90.00 90.00
Atoms (fractional coordinates):
Cd 0.000 0.000 0.000
Sn 0.500 0.500 0.000
Bi 0.000 0.500 0.500
Bi 0.500 0.000 0.500

***

# 2
A geometry-optimized CdSn2Bi structure. Source: the Alexandria database, functional PBE.

Calculated values
**SG**: P4/mmm, No. 123
**Total magnetization**: 0.00 μB per formula unit
**Density**: 8303 kg/m³
**ΔE to the lowest computed polymorph**: 1.83 kJ/mol of atoms
**Fermi-level density of states**: 0.4299 states/eV per atom
**ΔH_f (0 K)**: 100 meV/atom

Lattice parameters (Å, degrees): 3.847 3.847 7.553 90.00 90.00 90.00
Atoms (fractional coordinates):
Cd 0.000 0.000 0.000
Sn 0.500 0.500 0.239
Sn 0.500 0.500 0.761
Bi 0.000 0.000 0.500

***

# 3
A geometry-optimized CdSn2Bi2 structure. Source: the Alexandria database, functional PBE.

Calculated values
**SG**: I4/mmm, No. 139
**Total magnetization**: 0.00 μB per formula unit
**Density**: 7128 kg/m³
**ΔE to the lowest computed polymorph**: 3.07 kJ/mol of atoms
**Fermi-level density of states**: 0.3526 states/eV per atom
**ΔH_f (0 K)**: 164 meV/atom

Lattice parameters (Å, degrees): 7.998 7.998 7.998 143.63 143.63 52.38
Atoms (fractional coordinates):
Cd 0.000 0.000 0.000
Sn 0.250 0.750 0.500
Sn 0.750 0.250 0.500
Bi 0.382 0.382 0.000
Bi 0.618 0.618 0.000

***

# 4
A geometry-optimized Cd6SnBi2 structure. Source: the Alexandria database, functional PBE.

Calculated values
**SG**: C2/m, No. 12
**Total magnetization**: 0.00 μB per formula unit
**Density**: 8414 kg/m³
**Fermi-level density of states**: 0.3717 states/eV per atom
**ΔH_f (0 K)**: 82 meV/atom

Lattice parameters (Å, degrees): 5.964 5.964 7.068 97.48 97.48 74.56
Atoms (fractional coordinates):
Cd 0.124 0.717 0.795
Cd 0.283 0.876 0.205
Cd 0.332 0.332 0.079
Cd 0.668 0.668 0.921
Cd 0.717 0.124 0.795
Cd 0.876 0.283 0.205
Sn 0.500 0.500 0.500
Bi 0.185 0.185 0.638
Bi 0.815 0.815 0.362

***

# 5
A geometry-optimized Cd3Sn3Bi structure. Source: the Alexandria database, functional PBE.

Calculated values
**SG**: Pm-3n, No. 223
**Total magnetization**: 1.15 μB per formula unit
**Density**: 5885 kg/m³
**Fermi-level density of states**: 1.1410 states/eV per atom
**ΔH_f (0 K)**: 580 meV/atom

Lattice parameters (Å, degrees): 7.986 7.986 7.986 90.00 90.00 90.00
Atoms (fractional coordinates):
Cd 0.000 0.250 0.500
Cd 0.000 0.750 0.500
Cd 0.250 0.500 0.000
Cd 0.500 0.000 0.250
Cd 0.500 0.000 0.750
Cd 0.750 0.500 0.000
Sn 0.000 0.500 0.250
Sn 0.000 0.500 0.750
Sn 0.250 0.000 0.500
Sn 0.500 0.250 0.000
Sn 0.500 0.750 0.000
Sn 0.750 0.000 0.500
Bi 0.000 0.000 0.000
Bi 0.500 0.500 0.500

***

# 6
A geometry-optimized CdSnBi2 structure. Source: the Alexandria database, functional PBE.

Calculated values
**SG**: R3m, No. 160
**Total magnetization**: 0.00 μB per formula unit
**Density**: 8425 kg/m³
**Fermi-level density of states**: 0.4264 states/eV per atom
**ΔH_f (0 K)**: 110 meV/atom

Lattice parameters (Å, degrees): 7.376 7.376 7.376 36.63 36.63 36.63
Atoms (fractional coordinates):
Cd 0.000 0.000 0.000
Sn 0.831 0.831 0.831
Bi 0.407 0.407 0.407
Bi 0.587 0.587 0.587

***

# 7
A geometry-optimized Cd3Sn5Bi12 structure. Source: the Alexandria database, functional PBE.

Calculated values
**SG**: Ia-3d, No. 230
**Total magnetization**: 0.00 μB per formula unit
**Density**: 7765 kg/m³
**Fermi-level density of states**: 0.4689 states/eV per atom
**ΔH_f (0 K)**: 199 meV/atom

Lattice parameters (Å, degrees): 15.633 15.633 15.633 109.47 109.47 109.47
Atoms (fractional coordinates):
Cd 0.125 0.250 0.375
Cd 0.125 0.375 0.750
Cd 0.250 0.375 0.125
Cd 0.250 0.875 0.625
Cd 0.375 0.125 0.250
Cd 0.375 0.750 0.125
Cd 0.625 0.250 0.875
Cd 0.625 0.875 0.750
Cd 0.750 0.125 0.375
Cd 0.750 0.625 0.875
Cd 0.875 0.625 0.250
Cd 0.875 0.750 0.625
Sn 0.000 0.000 0.000
Sn 0.000 0.000 0.500
Sn 0.000 0.500 0.000
Sn 0.000 0.500 0.500
Sn 0.125 0.750 0.875
Sn 0.125 0.875 0.250
Sn 0.250 0.125 0.875
Sn 0.250 0.625 0.375
Sn 0.375 0.250 0.625
Sn 0.375 0.625 0.750
Sn 0.500 0.000 0.000
Sn 0.500 0.000 0.500
Sn 0.500 0.500 0.000
Sn 0.500 0.500 0.500
Sn 0.625 0.375 0.250
Sn 0.625 0.750 0.375
Sn 0.750 0.375 0.625
Sn 0.750 0.875 0.125
Sn 0.875 0.125 0.750
Sn 0.875 0.250 0.125
Bi 0.065 0.238 0.134
Bi 0.065 0.327 0.931
Bi 0.069 0.634 0.396
Bi 0.069 0.935 0.673
Bi 0.104 0.738 0.673
Bi 0.104 0.866 0.431
Bi 0.134 0.065 0.238
Bi 0.134 0.569 0.896
Bi 0.173 0.238 0.604
Bi 0.173 0.435 0.569
Bi 0.238 0.134 0.065
Bi 0.238 0.604 0.173
Bi 0.262 0.327 0.896
Bi 0.262 0.435 0.366
Bi 0.327 0.896 0.262
Bi 0.327 0.931 0.065
Bi 0.366 0.262 0.435
Bi 0.366 0.604 0.931
Bi 0.396 0.069 0.634
Bi 0.396 0.827 0.762
Bi 0.431 0.104 0.866
Bi 0.431 0.827 0.565
Bi 0.435 0.366 0.262
Bi 0.435 0.569 0.173
Bi 0.565 0.431 0.827
Bi 0.565 0.634 0.738
Bi 0.569 0.173 0.435
Bi 0.569 0.896 0.134
Bi 0.604 0.173 0.238
Bi 0.604 0.931 0.366
Bi 0.634 0.396 0.069
Bi 0.634 0.738 0.565
Bi 0.673 0.069 0.935
Bi 0.673 0.104 0.738
Bi 0.738 0.565 0.634
Bi 0.738 0.673 0.104
Bi 0.762 0.396 0.827
Bi 0.762 0.866 0.935
Bi 0.827 0.565 0.431
Bi 0.827 0.762 0.396
Bi 0.866 0.431 0.104
Bi 0.866 0.935 0.762
Bi 0.896 0.134 0.569
Bi 0.896 0.262 0.327
Bi 0.931 0.065 0.327
Bi 0.931 0.366 0.604
Bi 0.935 0.673 0.069
Bi 0.935 0.762 0.866

***

# 8
A geometry-optimized Cd5Sn3Bi12 structure. Source: the Alexandria database, functional PBE.

Calculated values
**SG**: Ia-3d, No. 230
**Total magnetization**: 0.00 μB per formula unit
**Density**: 7606 kg/m³
**Fermi-level density of states**: 0.7022 states/eV per atom
**ΔH_f (0 K)**: 255 meV/atom

Lattice parameters (Å, degrees): 15.722 15.722 15.722 109.47 109.47 109.47
Atoms (fractional coordinates):
Cd 0.000 0.000 0.000
Cd 0.000 0.000 0.500
Cd 0.000 0.500 0.000
Cd 0.000 0.500 0.500
Cd 0.125 0.750 0.875
Cd 0.125 0.875 0.250
Cd 0.250 0.125 0.875
Cd 0.250 0.625 0.375
Cd 0.375 0.250 0.625
Cd 0.375 0.625 0.750
Cd 0.500 0.000 0.000
Cd 0.500 0.000 0.500
Cd 0.500 0.500 0.000
Cd 0.500 0.500 0.500
Cd 0.625 0.375 0.250
Cd 0.625 0.750 0.375
Cd 0.750 0.375 0.625
Cd 0.750 0.875 0.125
Cd 0.875 0.125 0.750
Cd 0.875 0.250 0.125
Sn 0.125 0.250 0.375
Sn 0.125 0.375 0.750
Sn 0.250 0.375 0.125
Sn 0.250 0.875 0.625
Sn 0.375 0.125 0.250
Sn 0.375 0.750 0.125
Sn 0.625 0.250 0.875
Sn 0.625 0.875 0.750
Sn 0.750 0.125 0.375
Sn 0.750 0.625 0.875
Sn 0.875 0.625 0.250
Sn 0.875 0.750 0.625
Bi 0.067 0.230 0.150
Bi 0.067 0.337 0.917
Bi 0.080 0.730 0.663
Bi 0.080 0.850 0.417
Bi 0.083 0.650 0.420
Bi 0.083 0.933 0.663
Bi 0.150 0.067 0.230
Bi 0.150 0.583 0.920
Bi 0.163 0.230 0.580
Bi 0.163 0.433 0.583
Bi 0.230 0.150 0.067
Bi 0.230 0.580 0.163
Bi 0.270 0.337 0.920
Bi 0.270 0.433 0.350
Bi 0.337 0.917 0.067
Bi 0.337 0.920 0.270
Bi 0.350 0.270 0.433
Bi 0.350 0.580 0.917
Bi 0.417 0.080 0.850
Bi 0.417 0.837 0.567
Bi 0.420 0.083 0.650
Bi 0.420 0.837 0.770
Bi 0.433 0.350 0.270
Bi 0.433 0.583 0.163
Bi 0.567 0.417 0.837
Bi 0.567 0.650 0.730
Bi 0.580 0.163 0.230
Bi 0.580 0.917 0.350
Bi 0.583 0.163 0.433
Bi 0.583 0.920 0.150
Bi 0.650 0.420 0.083
Bi 0.650 0.730 0.567
Bi 0.663 0.080 0.730
Bi 0.663 0.083 0.933
Bi 0.730 0.567 0.650
Bi 0.730 0.663 0.080
Bi 0.770 0.420 0.837
Bi 0.770 0.850 0.933
Bi 0.837 0.567 0.417
Bi 0.837 0.770 0.420
Bi 0.850 0.417 0.080
Bi 0.850 0.933 0.770
Bi 0.917 0.067 0.337
Bi 0.917 0.350 0.580
Bi 0.920 0.150 0.583
Bi 0.920 0.270 0.337
Bi 0.933 0.663 0.083
Bi 0.933 0.770 0.850

***

# 9
A geometry-optimized Cd4SnBi structure. Source: the Alexandria database, functional PBE.

Calculated values
**SG**: F-43m, No. 216
**Total magnetization**: 0.00 μB per formula unit
**Density**: 8401 kg/m³
**ΔE to the lowest computed polymorph**: 4.16 kJ/mol of atoms
**Fermi-level density of states**: 0.9007 states/eV per atom
**ΔH_f (0 K)**: 107 meV/atom

Lattice parameters (Å, degrees): 6.012 6.012 6.012 60.00 60.00 60.00
Atoms (fractional coordinates):
Cd 0.125 0.125 0.125
Cd 0.125 0.125 0.625
Cd 0.125 0.625 0.125
Cd 0.625 0.125 0.125
Sn 0.500 0.500 0.500
Bi 0.750 0.750 0.750

***

# 10
A geometry-optimized CdSn2Bi structure. Source: the Alexandria database, functional PBE.

Calculated values
**SG**: R3m, No. 160
**Total magnetization**: 0.00 μB per formula unit
**Density**: 7454 kg/m³
**ΔE to the lowest computed polymorph**: 0.94 kJ/mol of atoms
**Fermi-level density of states**: 0.5379 states/eV per atom
**ΔH_f (0 K)**: 91 meV/atom

Lattice parameters (Å, degrees): 7.235 7.235 7.235 37.27 37.27 37.27
Atoms (fractional coordinates):
Cd 0.000 0.000 0.000
Sn 0.249 0.249 0.249
Sn 0.405 0.405 0.405
Bi 0.830 0.830 0.830

***

# 11
A geometry-optimized Cd5Sn12Bi3 structure. Source: the Alexandria database, functional PBE.

Calculated values
**SG**: Ia-3d, No. 230
**Total magnetization**: 0.00 μB per formula unit
**Density**: 6043 kg/m³
**Fermi-level density of states**: 0.5757 states/eV per atom
**ΔH_f (0 K)**: 227 meV/atom

Lattice parameters (Å, degrees): 15.511 15.511 15.511 109.47 109.47 109.47
Atoms (fractional coordinates):
Cd 0.000 0.000 0.000
Cd 0.000 0.000 0.500
Cd 0.000 0.500 0.000
Cd 0.000 0.500 0.500
Cd 0.125 0.750 0.875
Cd 0.125 0.875 0.250
Cd 0.250 0.125 0.875
Cd 0.250 0.625 0.375
Cd 0.375 0.250 0.625
Cd 0.375 0.625 0.750
Cd 0.500 0.000 0.000
Cd 0.500 0.000 0.500
Cd 0.500 0.500 0.000
Cd 0.500 0.500 0.500
Cd 0.625 0.375 0.250
Cd 0.625 0.750 0.375
Cd 0.750 0.375 0.625
Cd 0.750 0.875 0.125
Cd 0.875 0.125 0.750
Cd 0.875 0.250 0.125
Sn 0.069 0.223 0.146
Sn 0.069 0.346 0.923
Sn 0.077 0.646 0.423
Sn 0.077 0.723 0.654
Sn 0.077 0.854 0.423
Sn 0.077 0.931 0.654
Sn 0.146 0.069 0.223
Sn 0.146 0.577 0.923
Sn 0.154 0.223 0.577
Sn 0.154 0.431 0.577
Sn 0.223 0.146 0.069
Sn 0.223 0.577 0.154
Sn 0.277 0.346 0.923
Sn 0.277 0.431 0.354
Sn 0.346 0.923 0.069
Sn 0.346 0.923 0.277
Sn 0.354 0.277 0.431
Sn 0.354 0.577 0.923
Sn 0.423 0.077 0.646
Sn 0.423 0.077 0.854
Sn 0.423 0.846 0.569
Sn 0.423 0.846 0.777
Sn 0.431 0.354 0.277
Sn 0.431 0.577 0.154
Sn 0.569 0.423 0.846
Sn 0.569 0.646 0.723
Sn 0.577 0.154 0.223
Sn 0.577 0.154 0.431
Sn 0.577 0.923 0.146
Sn 0.577 0.923 0.354
Sn 0.646 0.423 0.077
Sn 0.646 0.723 0.569
Sn 0.654 0.077 0.723
Sn 0.654 0.077 0.931
Sn 0.723 0.569 0.646
Sn 0.723 0.654 0.077
Sn 0.777 0.423 0.846
Sn 0.777 0.854 0.931
Sn 0.846 0.569 0.423
Sn 0.846 0.777 0.423
Sn 0.854 0.423 0.077
Sn 0.854 0.931 0.777
Sn 0.923 0.069 0.346
Sn 0.923 0.146 0.577
Sn 0.923 0.277 0.346
Sn 0.923 0.354 0.577
Sn 0.931 0.654 0.077
Sn 0.931 0.777 0.854
Bi 0.125 0.250 0.375
Bi 0.125 0.375 0.750
Bi 0.250 0.375 0.125
Bi 0.250 0.875 0.625
Bi 0.375 0.125 0.250
Bi 0.375 0.750 0.125
Bi 0.625 0.250 0.875
Bi 0.625 0.875 0.750
Bi 0.750 0.125 0.375
Bi 0.750 0.625 0.875
Bi 0.875 0.625 0.250
Bi 0.875 0.750 0.625

***

# 12
A geometry-optimized CdSn2Bi2 structure. Source: the Alexandria database, functional PBE.

Calculated values
**SG**: P4/mbm, No. 127
**Total magnetization**: 0.00 μB per formula unit
**Density**: 8228 kg/m³
**ΔE to the lowest computed polymorph**: 0.82 kJ/mol of atoms
**Fermi-level density of states**: 0.6474 states/eV per atom
**ΔH_f (0 K)**: 141 meV/atom

Lattice parameters (Å, degrees): 8.781 8.781 4.019 90.00 90.00 90.00
Atoms (fractional coordinates):
Cd 0.000 0.000 0.000
Cd 0.500 0.500 0.000
Sn 0.143 0.357 0.500
Sn 0.357 0.857 0.500
Sn 0.643 0.143 0.500
Sn 0.857 0.643 0.500
Bi 0.151 0.651 0.000
Bi 0.349 0.151 0.000
Bi 0.651 0.849 0.000
Bi 0.849 0.349 0.000